(1)
Density functional theory data (GGA-PBE) for an optimized crystal structure of SrNbO3.

Summary:
ΔE_f (raw)	-2.768	eV/atom
D(E_F)	3.1	states/eV/cell
SG	P4/mbm, No. 127
V	67.9	Å³/f.u.
spin magnetization	0.00	μB per formula unit

```
SrNbO3
1.0
5.738 0.000 0.000
0.000 5.738 0.000
0.000 0.000 4.123
Sr Nb O
2 2 6
Cartesian
0.000 2.869 0.000
2.869 0.000 0.000
0.000 0.000 2.062
2.869 2.869 2.062
0.000 0.000 0.000
1.227 1.643 2.062
1.643 4.512 2.062
2.869 2.869 0.000
4.096 1.227 2.062
4.512 4.096 2.062
```

***

(2)
Density functional theory data (GGA-PBE) for an optimized crystal structure of SrNbO3.

Summary:
ΔE_f (raw)	0.036	eV/atom
D(E_F)	11.0	states/eV/cell
SG	Pm-3m, No. 221
V	81.3	Å³/f.u.
spin magnetization	0.98	μB per formula unit

```
SrNbO3
1.0
4.333 0.000 0.000
0.000 4.333 0.000
0.000 0.000 4.333
Sr Nb O
1 1 3
Cartesian
0.000 0.000 0.000
2.166 2.166 2.166
0.000 0.000 2.166
0.000 2.166 0.000
2.166 0.000 0.000
```

***

(3)
Density functional theory data (GGA-PBE) for an optimized crystal structure of Sr2NbO.

Summary:
ΔE_f (raw)	-0.155	eV/atom
D(E_F)	5.6	states/eV/cell
SG	I-42d, No. 122
V	116.9	Å³/f.u.
spin magnetization	0.00	μB per formula unit

```
Sr2NbO
1.0
-3.614 3.614 4.475
3.614 -3.614 4.475
3.614 3.614 -4.475
Sr Nb O
4 2 2
Cartesian
5.422 0.962 -1.119
0.962 1.807 1.119
-1.807 2.652 3.356
2.652 1.807 5.593
3.614 0.000 2.237
0.000 0.000 4.475
0.000 0.000 0.000
0.000 3.614 2.237
```